Record 1
The following is a DFT calculation (GGA-PBE) of crystalline Tb3Pm2Sm6Er at its relaxed geometry.

Unit cell a=6.2436 b=6.2436 c=11.9443 alpha=94.99 beta=94.99 gamma=119.97
Fractional positions:
1 Tb 0.0000 0.0000 0.0000
2 Tb 0.3335 0.6665 0.0000
3 Tb 0.6665 0.3335 0.0000
4 Pm 0.1666 0.8334 0.5000
5 Pm 0.8334 0.1666 0.5000
6 Sm 0.0837 0.4161 0.2488
7 Sm 0.2515 0.2515 0.7516
8 Sm 0.4161 0.0837 0.2488
9 Sm 0.5839 0.9163 0.7512
10 Sm 0.7485 0.7485 0.2484
11 Sm 0.9163 0.5839 0.7512
12 Er 0.5000 0.5000 0.5000

Output
crystal system	monoclinic
calculated volume	397.2	Å³/f.u.
ΔE_f	16	kJ/mol of formula units

Record 2
The following is a DFT calculation (GGA-PBE) of crystalline TbPmSm2Er2 at its relaxed geometry.

Unit cell a=6.6562 b=17.6342 c=3.3901 alpha=90.00 beta=90.00 gamma=90.00
Fractional positions:
1 Tb 0.0000 0.0000 0.0000
2 Tb 0.5000 0.5000 0.5000
3 Pm 0.0000 0.5000 0.0000
4 Pm 0.5000 0.0000 0.5000
5 Sm 0.2304 0.1517 0.5000
6 Sm 0.2696 0.6517 0.0000
7 Sm 0.7304 0.3483 0.0000
8 Sm 0.7696 0.8483 0.5000
9 Er 0.2344 0.3215 0.0000
10 Er 0.2656 0.8215 0.5000
11 Er 0.7344 0.1785 0.5000
12 Er 0.7656 0.6785 0.0000

Output
crystal system	orthorhombic
calculated volume	199.0	Å³/f.u.
ΔE_f	155	kJ/mol of formula units